# ZnRuPt2

Crystalline ZnRuPt2 at its relaxed geometry (PBE, the Alexandria database).

Cell: 3.806 3.806 17.975 Å, 90.00 90.00 90.00°
Space group I-42d (No. 122)
Asymmetric unit:
Zn 0.000 0.000 0.000 [4 per cell]
Ru 0.000 0.000 0.500 [4 per cell]
Pt 0.248 0.250 0.625 [8 per cell]

Results
Crystal system: tetragonal
Raw total energy in eV/atom: -5.4158
V in Å³ per atom: 16.3
Energy of formation in meV/atom: 242
Magnetic moment in μB/f.u.: 0.4


# Zn2RuPt

Crystalline Zn2RuPt at its relaxed geometry (PBE, the Alexandria database).

Cell: 3.075 3.075 6.087 Å, 90.00 90.00 90.00°
Space group P4mm (No. 99)
Asymmetric unit:
Zn 0.000 0.000 0.000 [1 per cell]
Zn 0.500 0.500 0.243 [1 per cell]
Ru 0.500 0.500 0.770 [1 per cell]
Pt 0.000 0.000 0.488 [1 per cell]

Results
Crystal system: tetragonal
Raw total energy in eV/atom: -4.5192
V in Å³ per atom: 14.4
Energy of formation in meV/atom: -53
Magnetic moment in μB/f.u.: 0.0


# ZnRu2Pt

Crystalline ZnRu2Pt at its relaxed geometry (PBE, the Alexandria database).

Cell: 2.723 4.704 4.596 Å, 90.00 90.67 90.00°
Space group P2/m (No. 10)
Asymmetric unit:
Zn 0.000 0.000 0.000 [1 per cell]
Ru 0.268 0.500 0.761 [2 per cell]
Pt 0.500 0.000 0.500 [1 per cell]

Results
Crystal system: monoclinic
Raw total energy in eV/atom: -6.3210
V in Å³ per atom: 14.7
Energy of formation in meV/atom: 146
Magnetic moment in μB/f.u.: 0.0


Which of these has the lowest V?
Zn2RuPt


What is the V in the third record?
14.7 Å³ per atom